The following is a PBE calculation of RbCdIn4Pb2 after structural relaxation, from Alexandria via LeMat-Bulk.

It has space group R-3m (No. 166, hexagonal axes), with a = 5.4365 Å, b = 5.4365 Å, c = 30.8659 Å, α = 90.00°, β = 90.00° and γ = 120.00°. Symmetry generates all atoms from Rb at (0.0000, 0.0000, 0.0000), Cd at (0.0000, 0.0000, 0.5000), In at (0.0000, 0.0000, 0.1336), In at (0.0000, 0.0000, 0.4038) and Pb at (0.0000, 0.0000, 0.2398).

The value obtained for the formation energy is -0.0045 eV per atom.

---

The following is a PBE calculation of ZnAsIrO6 after structural relaxation, from Alexandria via LeMat-Bulk.

It has space group P-31c (No. 163), with a = 5.0581 Å, b = 5.0581 Å, c = 8.9527 Å, α = 90.00°, β = 90.00° and γ = 120.00°. Symmetry generates all atoms from Zn at (0.0000, 0.0000, 0.0000), As at (0.3333, 0.6667, 0.2500), Ir at (0.3333, 0.6667, 0.7500) and O at (0.0141, 0.3622, 0.1353).

Its uncorrected formation energy is -1.00 eV per atom.

---

Calculated Fermi-level density of states (states/eV/cell), listed in the same order as above: 13.862, 7.226